# Ho4Tm3Ni4

A relaxed structure of Ho4Tm3Ni4 (PBE-GGA, the Alexandria database).

Lattice parameters (Å, degrees): 3.746 8.860 14.980 90.00 90.00 90.00
Space group Immm (No. 71)
Asymmetric unit:
Ho 0.000 0.186 0.160 [8 per cell]
Tm 0.000 0.000 0.391 [4 per cell]
Tm 0.000 0.500 0.500 [2 per cell]
Ni 0.000 0.346 0.000 [4 per cell]
Ni 0.000 0.500 0.258 [4 per cell]

=====

# Ho3Tm2Ni2

A relaxed structure of Ho3Tm2Ni2 (PBE-GGA, the Alexandria database).

Lattice parameters (Å, degrees): 12.032 3.571 8.877 90.00 116.58 90.00
Space group C2/m (No. 12)
Asymmetric unit:
Ho 0.000 0.000 0.000 [2 per cell]
Ho 0.115 0.000 0.434 [4 per cell]
Tm 0.167 0.500 0.812 [4 per cell]
Ni 0.175 0.500 0.238 [4 per cell]

=====

# HoTmNi

A relaxed structure of HoTmNi (PBE-GGA, the Alexandria database).

Lattice parameters (Å, degrees): 12.671 3.359 6.795 90.00 105.60 90.00
Space group C2/m (No. 12)
Asymmetric unit:
Ho 0.131 0.000 0.066 [4 per cell]
Tm 0.132 0.000 0.566 [4 per cell]
Ni 0.001 0.500 0.743 [4 per cell]

Computed properties:
For the energy above the most stable polymorph in this dataset, the calculation gives 1 meV per atom.

=====

# Ho3TmNi

A relaxed structure of Ho3TmNi (PBE-GGA, the Alexandria database).

Lattice parameters (Å, degrees): 11.979 3.580 13.686 90.00 115.38 90.00
Space group Cm (No. 8)
Asymmetric unit:
Ho 0.000 0.000 0.000 [2 per cell]
Ho 0.045 0.000 0.597 [2 per cell]
Ho 0.215 0.000 0.875 [2 per cell]
Ho 0.278 0.500 0.116 [2 per cell]
Ho 0.350 0.000 0.356 [2 per cell]
Ho 0.425 0.000 0.757 [2 per cell]
Tm 0.063 0.500 0.241 [2 per cell]
Tm 0.231 0.500 0.515 [2 per cell]
Ni 0.049 0.000 0.389 [2 per cell]
Ni 0.229 0.500 0.724 [2 per cell]

Computed properties:
For the energy above the most stable polymorph in this dataset, the calculation gives 0 meV per atom.

=====

# Ho2Tm5Ni4

A relaxed structure of Ho2Tm5Ni4 (PBE-GGA, the Alexandria database).

Lattice parameters (Å, degrees): 21.975 3.524 6.978 90.00 101.58 90.00
Space group C2/m (No. 12)
Asymmetric unit:
Ho 0.066 0.000 0.164 [4 per cell]
Tm 0.000 0.500 0.500 [2 per cell]
Tm 0.159 0.000 0.622 [4 per cell]
Tm 0.208 0.000 0.129 [4 per cell]
Ni 0.054 0.000 0.787 [4 per cell]
Ni 0.132 0.500 0.886 [4 per cell]

=====

# Ho3TmNi3

A relaxed structure of Ho3TmNi3 (PBE-GGA, the Alexandria database).

Lattice parameters (Å, degrees): 8.878 9.982 6.776 90.00 91.67 90.00
Space group C2/m (No. 12)
Asymmetric unit:
Ho 0.000 0.176 0.000 [4 per cell]
Ho 0.000 0.250 0.500 [4 per cell]
Ho 0.163 0.500 0.871 [4 per cell]
Tm 0.244 0.500 0.376 [4 per cell]
Ni 0.059 0.000 0.315 [4 per cell]
Ni 0.240 0.258 0.210 [8 per cell]

=====

# Ho6Tm2Ni

A relaxed structure of Ho6Tm2Ni (PBE-GGA, the Alexandria database).

Lattice parameters (Å, degrees): 8.971 16.862 3.540 90.00 90.00 90.00
Space group Cmmm (No. 65)
Asymmetric unit:
Ho 0.171 0.163 0.000 [8 per cell]
Ho 0.244 0.000 0.500 [4 per cell]
Tm 0.000 0.325 0.500 [4 per cell]
Ni 0.000 0.000 0.000 [2 per cell]

=====

# HoTm6Ni3

A relaxed structure of HoTm6Ni3 (PBE-GGA, the Alexandria database).

Lattice parameters (Å, degrees): 10.761 12.804 6.990 90.00 90.00 90.00
Space group Cmc2_1 (No. 36)
Asymmetric unit:
Ho 0.000 0.180 0.000 [4 per cell]
Tm 0.000 0.274 0.460 [4 per cell]
Tm 0.000 0.469 0.117 [4 per cell]
Tm 0.167 0.038 0.623 [8 per cell]
Tm 0.227 0.309 0.770 [8 per cell]
Ni 0.000 0.083 0.331 [4 per cell]
Ni 0.196 0.393 0.407 [8 per cell]

=====

# HoTm12Ni6

A relaxed structure of HoTm12Ni6 (PBE-GGA, the Alexandria database).

Lattice parameters (Å, degrees): 9.698 9.698 9.698 90.00 90.00 90.00
Space group Im-3 (No. 204)
Asymmetric unit:
Ho 0.000 0.000 0.000 [2 per cell]
Tm 0.000 0.184 0.310 [24 per cell]
Ni 0.000 0.376 0.500 [12 per cell]

=====

# HoTmNi

A relaxed structure of HoTmNi (PBE-GGA, the Alexandria database).

Lattice parameters (Å, degrees): 3.8910 3.8910 6.0415 90.00 90.00 120.00
Space group P3m1 (No. 156)
Asymmetric unit:
Ho 0.0000 0.0000 0.0000 [1 per cell]
Tm 0.3333 0.6667 0.4801 [1 per cell]
Ni 0.6667 0.3333 0.2438 [1 per cell]

Computed properties:
For the energy above the most stable polymorph in this dataset, the calculation gives 95 meV per atom.

=====

# HoTm3Ni2

A relaxed structure of HoTm3Ni2 (PBE-GGA, the Alexandria database).

Lattice parameters (Å, degrees): 15.828 3.849 11.200 90.00 123.31 90.00
Space group C2/m (No. 12)
Asymmetric unit:
Ho 0.153 0.000 0.245 [4 per cell]
Tm 0.082 0.500 0.441 [4 per cell]
Tm 0.083 0.500 0.939 [4 per cell]
Tm 0.154 0.000 0.746 [4 per cell]
Ni 0.231 0.000 0.051 [4 per cell]
Ni 0.231 0.000 0.551 [4 per cell]

=====

# HoTm2Ni9

A relaxed structure of HoTm2Ni9 (PBE-GGA, the Alexandria database).

Lattice parameters (Å, degrees): 4.9391 4.9391 24.1583 90.00 90.00 120.00
Space group R-3m (No. 166, hexagonal axes)
Asymmetric unit:
Ho 0.0000 0.0000 0.0000 [3 per cell]
Tm 0.0000 0.0000 0.1393 [6 per cell]
Ni 0.0000 0.0000 0.3332 [6 per cell]
Ni 0.0000 0.0000 0.5000 [3 per cell]
Ni 0.0017 0.5008 0.9173 [18 per cell]

=====

Formation energy from the elements, respectively: -0.251, -0.271, -0.275, -0.184, -0.101, -0.319, 0.121, -0.265, -0.264, -0.181, -0.320, -0.443 eV per atom.